# K2CaSe

K2CaSe after structural relaxation (PBE, Alexandria via LeMat-Bulk).

Unit cell a=3.9462 b=3.9462 c=11.2490 alpha=90.00 beta=90.00 gamma=90.00
Space group P4mm (No. 99)
Symmetry-distinct sites (fractional):
K (0.0000, 0.0000, 0.0000) (multiplicity 1)
K (0.5000, 0.5000, 0.3562) (multiplicity 1)
Ca (0.5000, 0.5000, 0.6725) (multiplicity 1)
Se (0.0000, 0.0000, 0.5803) (multiplicity 1)

Computed properties:
raw formation energy: -0.785 eV/atom
magnetization: 0.00 μB/f.u.